8
Lattice="3.535 0.000 0.000 0.000 5.062 0.000 0.000 0.000 10.126" Properties=species:S:1:pos:R:3 comment="Er3TmAu4 PBE relaxed" n_ef_per_ev_atom=0.4655 e_form_ev_per_fu=-7.07 sg="Pmmm, No. 47" relative_energy_ev_per_atom=0.0000 pbc="T T T"
Au 0.000 0.000 5.063
Au 0.000 2.531 2.519
Au 0.000 0.000 0.000
Au 0.000 2.531 7.607
Er 1.767 2.531 5.063
Er 1.767 0.000 7.597
Er 1.767 0.000 2.528
Tm 1.767 2.531 0.000

---

7
Lattice="4.873 0.000 0.000 0.000 5.623 -2.081 0.000 0.637 5.962" Properties=species:S:1:pos:R:3 comment="Er2TmAu4 PBE relaxed" n_ef_per_ev_atom=0.7824 e_form_ev_per_fu=-5.20 sg="Cmmm, No. 65" pbc="T T T"
Er 0.000 4.560 -0.366
Er 0.000 1.701 4.247
Au 2.437 2.812 -1.041
Au 0.000 1.828 1.133
Au 2.437 0.319 2.981
Au 0.000 4.433 2.748
Tm 2.437 3.130 1.941

---

12
Lattice="-3.192 -3.570 -1.091 6.661 -5.826 -0.431 -0.777 -1.394 6.836" Properties=species:S:1:pos:R:3 comment="ErTmAu PBE relaxed" n_ef_per_ev_atom=0.9350 e_form_ev_per_fu=-1.98 sg="Pnma, No. 62" relative_energy_ev_per_atom=0.0000 pbc="T T T"
Au 1.285 -4.289 4.749
Au -0.342 -1.830 1.461
Au 3.034 -8.959 3.854
Au 1.407 -6.500 0.566
Tm -1.613 -4.425 2.617
Tm 4.305 -6.364 2.698
Tm 2.946 -6.212 6.179
Tm -0.254 -4.577 -0.864
Er -0.926 -2.544 5.508
Er 0.965 -6.961 3.372
Er 1.727 -3.828 1.943
Er 3.618 -8.245 -0.193

---

8
Lattice="4.839 0.001 0.000 -2.418 5.821 0.000 0.000 0.000 7.821" Properties=species:S:1:pos:R:3 comment="ErTm2Au PBE relaxed" n_ef_per_ev_atom=1.1708 e_form_ev_per_fu=-1.67 sg="Cmcm, No. 63" relative_energy_ev_per_atom=0.0472 pbc="T T T"
Au 0.001 2.408 1.955
Au 2.420 3.413 5.866
Er 0.000 0.509 5.866
Er 2.421 5.313 1.955
Tm 0.001 4.138 7.519
Tm 0.001 4.138 4.212
Tm 2.419 1.683 3.609
Tm 2.419 1.683 0.302

---

4
Lattice="-2.097 2.154 -2.125 -3.668 -0.263 0.164 -2.092 7.340 6.313" Properties=species:S:1:pos:R:3 comment="ErTm2Au PBE relaxed" n_ef_per_ev_atom=1.1299 e_form_ev_per_fu=-1.21 sg="R3m, No. 160" relative_energy_ev_per_atom=0.1645 pbc="T T T"
Tm -2.056 5.938 4.858
Tm -1.957 2.034 0.804
Er -3.928 4.599 2.159
Au -3.844 1.274 -1.294

---

10
Lattice="-1.526 2.561 1.907 0.101 -2.074 2.865 16.305 6.591 4.198" Properties=species:S:1:pos:R:3 comment="Er4TmAu5 PBE relaxed" n_ef_per_ev_atom=0.4189 e_form_ev_per_fu=-8.86 sg="P4/mmm, No. 123" pbc="T T T"
Au 10.704 4.859 5.326
Au 7.440 3.539 4.485
Au 0.900 0.895 2.801
Au 13.979 6.183 6.169
Au 4.175 2.219 3.645
Er 13.052 5.276 3.360
Er 3.253 1.315 0.838
Er 9.785 3.956 2.519
Er 6.520 2.636 1.679
Tm 0.000 0.000 0.000